DFT (PBE+U) results for a relaxed CuNiP2O crystal.

a = 4.5789 Å, b = 4.5789 Å, c = 3.4837 Å
α = 90.00°, β = 90.00°, γ = 90.00°
With the nearest neighbours (Å) after each atom.
Space group P4/mmm (No. 123)
Asymmetric unit:
Cu 0.0000 0.0000 0.0000 (multiplicity 1)  2 O 1.74
Ni 0.5000 0.5000 0.5000 (multiplicity 1)  8 P 2.88
P 0.0000 0.5000 0.0000 (multiplicity 2)  2 Cu 2.29
O 0.0000 0.0000 0.5000 (multiplicity 1)  2 Cu 1.74

## Properties
N(E_F)   4.26 states/eV/f.u.
Raw total energy   -3.545 eV per atom
Total magnetization   0.0 Bohr magnetons per cell